[1]
Density functional theory data (PBE) for a geometry-optimized V3Cr2W structure.

```
data_V3Cr2W
_cell_length_a 12.6799
_cell_length_b 4.2590
_cell_length_c 6.6627
_cell_angle_alpha 90.00
_cell_angle_beta 115.47
_cell_angle_gamma 90.00
_space_group_name_H-M_alt 'C 1 2/m 1'
_space_group_IT_number 12
loop_
_space_group_symop_operation_xyz
'x,y,z'
'-x,-y,-z'
'-x,y,-z'
'x,-y,z'
'x+1/2,y+1/2,z'
'-x+1/2,-y+1/2,-z'
'-x+1/2,y+1/2,-z'
'x+1/2,-y+1/2,z'
loop_
_atom_site_label
_atom_site_type_symbol
_atom_site_fract_x
_atom_site_fract_y
_atom_site_fract_z
_atom_site_occupancy
V1 V 0.0541 0.0000 0.2188 1
V2 V 0.1139 0.5000 0.0364 1
V3 V 0.1961 0.5000 0.4454 1
Cr1 Cr 0.0128 0.5000 0.6698 1
Cr2 Cr 0.2377 0.0000 0.1502 1
W1 W 0.1310 0.0000 0.6911 1
```

Properties
As for the energy above the most stable polymorph in this dataset: 243 meV per atom. Its density of states at the Fermi level is 1.217 states/eV/atom. For the formation enthalpy at 0 K, the calculation gives 188 meV/atom. The volume comes out at 324.8 Å³ per cell. The crystal system is monoclinic.

***

[2]
Density functional theory data (PBE) for a geometry-optimized KNiHg3 structure.

```
data_KNiHg3
_cell_length_a 6.5667
_cell_length_b 6.5667
_cell_length_c 6.5667
_cell_angle_alpha 90.00
_cell_angle_beta 90.00
_cell_angle_gamma 90.00
_space_group_name_H-M_alt 'P m -3 m'
_space_group_IT_number 221
_space_group_name_Hall '-P 4 2 3'
loop_
_atom_site_label
_atom_site_type_symbol
_atom_site_fract_x
_atom_site_fract_y
_atom_site_fract_z
_atom_site_occupancy
K1 K 0.0000 0.0000 0.0000 1
Ni1 Ni 0.5000 0.5000 0.5000 1
Hg1 Hg 0.0000 0.0000 0.5000 1
```

Properties
As for the energy above the most stable polymorph in this dataset: 974 meV per atom. Its density of states at the Fermi level is 0.245 states/eV/atom. For the formation enthalpy at 0 K, the calculation gives 847 meV/atom. The volume comes out at 283.2 Å³ per cell. The crystal system is cubic.

***

[3]
Density functional theory data (PBE) for a geometry-optimized NdHoIn6 structure.

```
data_NdHoIn6
_cell_length_a 4.6739
_cell_length_b 4.6739
_cell_length_c 9.3398
_cell_angle_alpha 90.00
_cell_angle_beta 90.00
_cell_angle_gamma 90.00
_space_group_name_H-M_alt 'P 4/m m m'
_space_group_IT_number 123
_space_group_name_Hall '-P 4 2'
loop_
_atom_site_label
_atom_site_type_symbol
_atom_site_fract_x
_atom_site_fract_y
_atom_site_fract_z
_atom_site_occupancy
Nd1 Nd 0.0000 0.0000 0.0000 1
Ho1 Ho 0.0000 0.0000 0.5000 1
In1 In 0.0000 0.5000 0.2550 1
In2 In 0.5000 0.5000 0.0000 1
In3 In 0.5000 0.5000 0.5000 1
```

Properties
Its density of states at the Fermi level is 0.358 states/eV/atom. For the formation enthalpy at 0 K, the calculation gives -436 meV/atom. The volume comes out at 204.0 Å³ per cell. The crystal system is tetragonal.

***

[4]
Density functional theory data (PBE) for a geometry-optimized LiPuRh4 structure.

```
data_LiPuRh4
_cell_length_a 7.3979
_cell_length_b 7.3979
_cell_length_c 7.3979
_cell_angle_alpha 90.00
_cell_angle_beta 90.00
_cell_angle_gamma 90.00
_space_group_name_H-M_alt 'F -4 3 m'
_space_group_IT_number 216
_space_group_name_Hall 'F -4 2 3'
loop_
_atom_site_label
_atom_site_type_symbol
_atom_site_fract_x
_atom_site_fract_y
_atom_site_fract_z
_atom_site_occupancy
Li1 Li 0.0000 0.0000 0.0000 1
Pu1 Pu 0.2500 0.2500 0.7500 1
Rh1 Rh 0.1255 0.1255 0.3745 1
```

Properties
Its density of states at the Fermi level is 1.319 states/eV/atom. For the formation enthalpy at 0 K, the calculation gives -304 meV/atom. The volume comes out at 404.9 Å³ per cell. The crystal system is cubic.

***

[5]
Density functional theory data (PBE) for a geometry-optimized Ti2CoPb structure.

```
data_Ti2CoPb
_cell_length_a 7.1523
_cell_length_b 7.1523
_cell_length_c 5.6756
_cell_angle_alpha 90.00
_cell_angle_beta 90.00
_cell_angle_gamma 90.00
_space_group_name_H-M_alt 'I -4 2 d'
_space_group_IT_number 122
_space_group_name_Hall 'I -4 2bw'
loop_
_atom_site_label
_atom_site_type_symbol
_atom_site_fract_x
_atom_site_fract_y
_atom_site_fract_z
_atom_site_occupancy
Ti1 Ti 0.1855 0.2500 0.1250 1
Co1 Co 0.0000 0.0000 0.0000 1
Pb1 Pb 0.0000 0.0000 0.5000 1
```

Properties
Its density of states at the Fermi level is 1.541 states/eV/atom. For the formation enthalpy at 0 K, the calculation gives 162 meV/atom. The volume comes out at 290.3 Å³ per cell. The crystal system is tetragonal.

***

[6]
Density functional theory data (PBE) for a geometry-optimized NbTeI2F structure.

```
data_NbTeI2F
_cell_length_a 5.7362
_cell_length_b 5.7362
_cell_length_c 4.2455
_cell_angle_alpha 90.00
_cell_angle_beta 90.00
_cell_angle_gamma 90.00
_space_group_name_H-M_alt 'P 4/m m m'
_space_group_IT_number 123
_space_group_name_Hall '-P 4 2'
loop_
_atom_site_label
_atom_site_type_symbol
_atom_site_fract_x
_atom_site_fract_y
_atom_site_fract_z
_atom_site_occupancy
Nb1 Nb 0.0000 0.0000 0.0000 1
Te1 Te 0.5000 0.5000 0.0000 1
I1 I 0.0000 0.5000 0.5000 1
F1 F 0.5000 0.5000 0.5000 1
```

Properties
As for the energy above the most stable polymorph in this dataset: 555 meV per atom. Its density of states at the Fermi level is 0.708 states/eV/atom. The volume comes out at 139.7 Å³ per cell. The crystal system is tetragonal.